Compound: Li2Pr2InPd5
Source: the Alexandria database
Functional: PBE-GGA
Structure: optimized geometry

Properties
Size of the total moment (μB/f.u.): 0.0
Space group: P4/mbm
ΔE_f (eV/f.u.): -6.31
DOS at the Fermi energy (states/eV/f.u.): 3.73

Cell lengths 9.776, 9.776, 3.807 Å; angles 90.00, 90.00, 90.00 degrees
Element x y z (fractional)
Li: 0.119 0.381 0.000
Li: 0.381 0.881 0.000
Li: 0.619 0.119 0.000
Li: 0.881 0.619 0.000
Pr: 0.179 0.679 0.000
Pr: 0.321 0.179 0.000
Pr: 0.679 0.821 0.000
Pr: 0.821 0.321 0.000
In: 0.000 0.000 0.000
In: 0.500 0.500 0.000
Pd: 0.000 0.500 0.500
Pd: 0.067 0.211 0.500
Pd: 0.211 0.933 0.500
Pd: 0.289 0.433 0.500
Pd: 0.433 0.711 0.500
Pd: 0.500 0.000 0.500
Pd: 0.567 0.289 0.500
Pd: 0.711 0.567 0.500
Pd: 0.789 0.067 0.500
Pd: 0.933 0.789 0.500